Below is a relaxed TlZn2Fe crystal, with properties calculated at the PBE level.

Cell lengths 4.7723, 4.7723, 5.1315 Å; angles 100.79, 100.79, 37.08 degrees
Positions (direct):
Tl1 0.0000 0.0000 0.0000
Zn1 0.2341 0.2341 0.6857
Zn2 0.4882 0.4882 0.4781
Fe1 0.7551 0.7551 0.2703

Output
**Space group**: Cm (8)
**Energy relative to the lowest polymorph listed for this composition**: 123 meV/atom
**E_tot**: -2.9746 eV/atom
**DOS(E_F)**: 2.8 states/eV/f.u.
**Calculated formation energy**: 370 meV per atom